# 1
The following is a PBE calculation of an optimized crystal structure of NdSm2MoN4, from Alexandria via LeMat-Bulk.

Computed properties:
**Symmetry**: Cmcm
**Formation energy from raw total energies**: -1.026 eV per atom

abc: 6.246 6.246 12.137
angles: 90.00 90.00 147.56
Sites, in units of the cell vectors:
Nd 0.095 0.905 0.750
Nd 0.905 0.095 0.250
Sm 0.369 0.631 0.540
Sm 0.369 0.631 0.960
Sm 0.631 0.369 0.040
Sm 0.631 0.369 0.460
Mo 0.164 0.836 0.250
Mo 0.836 0.164 0.750
N 0.000 0.000 0.000
N 0.000 0.000 0.500
N 0.266 0.734 0.128
N 0.266 0.734 0.372
N 0.437 0.563 0.750
N 0.563 0.437 0.250
N 0.734 0.266 0.628
N 0.734 0.266 0.872

***

# 2
The following is a PBE calculation of an optimized crystal structure of Sr2NdMoN4, from Alexandria via LeMat-Bulk.

Computed properties:
**Symmetry**: Pmn2_1
**Formation energy from raw total energies**: -0.887 eV per atom

abc: 7.774 7.107 5.591
angles: 90.00 90.00 90.00
Sites, in units of the cell vectors:
Sr 0.249 0.158 0.000
Sr 0.251 0.842 0.500
Sr 0.749 0.842 0.500
Sr 0.751 0.158 0.000
Nd 0.000 0.649 0.009
Nd 0.500 0.351 0.509
Mo 0.000 0.342 0.538
Mo 0.500 0.658 0.038
N 0.000 0.347 0.872
N 0.000 0.602 0.444
N 0.208 0.213 0.461
N 0.292 0.787 0.961
N 0.500 0.398 0.944
N 0.500 0.653 0.372
N 0.708 0.787 0.961
N 0.792 0.213 0.461

***

no.,energy (eV/cell),ρ (g/cm3)
1,-133.1,7.80
2,-118.7,5.07